No. 1
## BeFeSe2 (GGA-PBE)

Data for a geometry-optimized BeFeSe2 structure.

The structure in CIF format:
```
data_BeFeSe2
_space_group_name_H-M_alt 'P 1 m 1'
_space_group_IT_number 6
_cell_length_a 3.628
_cell_length_b 3.627
_cell_length_c 6.224
_cell_angle_alpha 90.00
_cell_angle_beta 90.10
_cell_angle_gamma 90.00
loop_
_space_group_symop_operation_xyz
'x,y,z'
'x,-y,z'
loop_
_atom_site_label
_atom_site_type_symbol
_atom_site_fract_x
_atom_site_fract_y
_atom_site_fract_z
Be1 Be 0.000 0.000 0.000
Fe1 Fe 0.500 0.500 0.000
Se1 Se 0.001 0.500 0.243
Se2 Se 0.499 0.000 0.758
```

formation energy from raw total energies = -0.28 eV/atom
electronic total energy = -20.30 eV per cell

No. 2
## Be2FeSe (GGA-PBE)

Data for a geometry-optimized Be2FeSe structure.

The structure in CIF format:
```
data_Be2FeSe
_space_group_name_H-M_alt 'C 1 2/m 1'
_space_group_IT_number 12
_cell_length_a 4.741
_cell_length_b 8.084
_cell_length_c 3.009
_cell_angle_alpha 90.00
_cell_angle_beta 123.36
_cell_angle_gamma 90.00
loop_
_space_group_symop_operation_xyz
'x,y,z'
'-x,-y,-z'
'-x,y,-z'
'x,-y,z'
'x+1/2,y+1/2,z'
'-x+1/2,-y+1/2,-z'
'-x+1/2,y+1/2,-z'
'x+1/2,-y+1/2,z'
loop_
_atom_site_label
_atom_site_type_symbol
_atom_site_fract_x
_atom_site_fract_y
_atom_site_fract_z
Be1 Be 0.250 0.250 0.000
Fe1 Fe 0.000 0.000 0.000
Se1 Se 0.000 0.500 0.000
```

formation energy from raw total energies = 0.37 eV/atom
electronic total energy = -35.86 eV per cell

No. 3
## BeFeSe2 (GGA-PBE)

Data for a geometry-optimized BeFeSe2 structure.

The structure in CIF format:
```
data_BeFeSe2
_space_group_name_H-M_alt 'I m m 2'
_space_group_IT_number 44
_cell_length_a 3.195
_cell_length_b 3.257
_cell_length_c 13.783
_cell_angle_alpha 90.00
_cell_angle_beta 90.00
_cell_angle_gamma 90.00
loop_
_space_group_symop_operation_xyz
'x,y,z'
'-x,-y,z'
'-x,y,z'
'x,-y,z'
'x+1/2,y+1/2,z+1/2'
'-x+1/2,-y+1/2,z+1/2'
'-x+1/2,y+1/2,z+1/2'
'x+1/2,-y+1/2,z+1/2'
loop_
_atom_site_label
_atom_site_type_symbol
_atom_site_fract_x
_atom_site_fract_y
_atom_site_fract_z
Be1 Be 0.000 0.000 0.000
Fe1 Fe 0.000 0.500 0.874
Se1 Se 0.000 0.000 0.531
Se2 Se 0.000 0.500 0.295
```

formation energy from raw total energies = -0.04 eV/atom
electronic total energy = -38.61 eV per cell

No. 4
## Be3FeSe (GGA-PBE)

Data for a geometry-optimized Be3FeSe structure.

The structure in CIF format:
```
data_Be3FeSe
_space_group_name_H-M_alt 'P m -3 m'
_space_group_IT_number 221
_space_group_name_Hall '-P 4 2 3'
_cell_length_a 4.210
_cell_length_b 4.210
_cell_length_c 4.210
_cell_angle_alpha 90.00
_cell_angle_beta 90.00
_cell_angle_gamma 90.00
loop_
_atom_site_label
_atom_site_type_symbol
_atom_site_fract_x
_atom_site_fract_y
_atom_site_fract_z
Be1 Be 0.000 0.000 0.500
Fe1 Fe 0.500 0.500 0.500
Se1 Se 0.000 0.000 0.000
```

formation energy from raw total energies = 1.22 eV/atom
electronic total energy = -17.02 eV per cell

No. 5
## BeFeSe2 (GGA-PBE)

Data for a geometry-optimized BeFeSe2 structure.

The structure in CIF format:
```
data_BeFeSe2
_space_group_name_H-M_alt 'P m m m'
_space_group_IT_number 47
_cell_length_a 3.372
_cell_length_b 3.407
_cell_length_c 7.646
_cell_angle_alpha 90.00
_cell_angle_beta 90.00
_cell_angle_gamma 90.00
loop_
_space_group_symop_operation_xyz
'x,y,z'
'-x,-y,-z'
'-x,-y,z'
'x,y,-z'
'x,-y,-z'
'-x,y,z'
'-x,y,-z'
'x,-y,z'
loop_
_atom_site_label
_atom_site_type_symbol
_atom_site_fract_x
_atom_site_fract_y
_atom_site_fract_z
Be1 Be 0.000 0.000 0.000
Fe1 Fe 0.000 0.500 0.500
Se1 Se 0.500 0.000 0.500
Se2 Se 0.500 0.500 0.000
```

formation energy from raw total energies = 0.22 eV/atom
electronic total energy = -18.29 eV per cell

No. 6
## BeFeSe2 (GGA-PBE)

Data for a geometry-optimized BeFeSe2 structure.

The structure in CIF format:
```
data_BeFeSe2
_space_group_name_H-M_alt 'C 1 m 1'
_space_group_IT_number 8
_cell_length_a 7.790
_cell_length_b 3.267
_cell_length_c 6.238
_cell_angle_alpha 90.00
_cell_angle_beta 95.79
_cell_angle_gamma 90.00
loop_
_space_group_symop_operation_xyz
'x,y,z'
'x,-y,z'
'x+1/2,y+1/2,z'
'x+1/2,-y+1/2,z'
loop_
_atom_site_label
_atom_site_type_symbol
_atom_site_fract_x
_atom_site_fract_y
_atom_site_fract_z
Be1 Be 0.000 0.000 0.000
Fe1 Fe 0.271 0.000 0.936
Se1 Se 0.052 0.500 0.761
Se2 Se 0.307 0.500 0.221
```

formation energy from raw total energies = -0.17 eV/atom
electronic total energy = -39.69 eV per cell

No. 7
## BeFeSe2 (GGA-PBE)

Data for a geometry-optimized BeFeSe2 structure.

The structure in CIF format:
```
data_BeFeSe2
_space_group_name_H-M_alt 'C 1 2/m 1'
_space_group_IT_number 12
_cell_length_a 6.048
_cell_length_b 3.488
_cell_length_c 6.380
_cell_angle_alpha 90.00
_cell_angle_beta 108.56
_cell_angle_gamma 90.00
loop_
_space_group_symop_operation_xyz
'x,y,z'
'-x,-y,-z'
'-x,y,-z'
'x,-y,z'
'x+1/2,y+1/2,z'
'-x+1/2,-y+1/2,-z'
'-x+1/2,y+1/2,-z'
'x+1/2,-y+1/2,z'
loop_
_atom_site_label
_atom_site_type_symbol
_atom_site_fract_x
_atom_site_fract_y
_atom_site_fract_z
Be1 Be 0.000 0.000 0.000
Fe1 Fe 0.000 0.500 0.500
Se1 Se 0.243 0.500 0.230
```

formation energy from raw total energies = -0.10 eV/atom
electronic total energy = -39.12 eV per cell

No. 8
## Be2FeSe (GGA-PBE)

Data for a geometry-optimized Be2FeSe structure.

The structure in CIF format:
```
data_Be2FeSe
_space_group_name_H-M_alt 'I -4 m 2'
_space_group_IT_number 119
_space_group_name_Hall 'I -4 -2'
_cell_length_a 3.388
_cell_length_b 3.388
_cell_length_c 7.862
_cell_angle_alpha 90.00
_cell_angle_beta 90.00
_cell_angle_gamma 90.00
loop_
_atom_site_label
_atom_site_type_symbol
_atom_site_fract_x
_atom_site_fract_y
_atom_site_fract_z
Be1 Be 0.000 0.000 0.000
Be2 Be 0.000 0.500 0.250
Fe1 Fe 0.000 0.000 0.500
Se1 Se 0.000 0.500 0.750
```

formation energy from raw total energies = 0.26 eV/atom
electronic total energy = -36.74 eV per cell